## P
First-principles (PBE) data for crystalline MnSb2AuI at its relaxed geometry, as listed in Alexandria via LeMat-Bulk.

Cell: 5.035 5.035 5.347 Å, 90.00 90.00 90.00°
Atoms (fractional coordinates):
I: 0.000 0.000 0.500
Sb: 0.500 0.000 0.000
Sb: 0.000 0.500 0.000
Au: 0.500 0.500 0.500
Mn: 0.000 0.000 0.000

Crystal system: tetragonal



## Q
First-principles (PBE) data for crystalline MnSb2AuI at its relaxed geometry, as listed in Alexandria via LeMat-Bulk.

Cell: 5.415 5.415 5.662 Å, 90.00 90.00 90.00°
Atoms (fractional coordinates):
Sb: 0.000 0.500 0.000
Sb: 0.500 0.000 0.000
I: 0.000 0.000 0.500
Mn: 0.500 0.500 0.500
Au: 0.000 0.000 0.000

Crystal system: tetragonal



P takes first place; second place is 315 meV/atom up.



## P
First-principles (PBE) data for crystalline MnTe2AuI at its relaxed geometry, as listed in Alexandria via LeMat-Bulk.

Cell: 4.870 4.870 5.784 Å, 90.00 90.00 90.00°
Atoms (fractional coordinates):
Mn: 0.000 0.000 0.000
Te: 0.500 0.000 0.000
Te: 0.000 0.500 0.000
Au: 0.500 0.500 0.500
I: 0.000 0.000 0.500

Crystal system: tetragonal



## Q
First-principles (PBE) data for crystalline MnTe2AuI at its relaxed geometry, as listed in Alexandria via LeMat-Bulk.

Cell: 5.502 5.502 5.534 Å, 90.00 90.00 90.00°
Atoms (fractional coordinates):
Te: 0.000 0.500 0.000
Te: 0.500 0.000 0.000
Mn: 0.500 0.500 0.500
I: 0.000 0.000 0.500
Au: 0.000 0.000 0.000

Crystal system: tetragonal



P takes first place; second place is 63 meV/atom up.



## P
First-principles (PBE) data for crystalline MoAu2I2 at its relaxed geometry, as listed in Alexandria via LeMat-Bulk.

Cell: 3.650 3.650 10.677 Å, 80.16 80.16 90.00°
Atoms (fractional coordinates):
I: 0.581 0.581 0.838
I: 0.419 0.419 0.162
Au: 0.250 0.750 0.500
Au: 0.750 0.250 0.500
Mo: 0.000 0.000 0.000

Crystal system: tetragonal



## Q
First-principles (PBE) data for crystalline MoAu2I2 at its relaxed geometry, as listed in Alexandria via LeMat-Bulk.

Cell: 8.066 8.066 4.408 Å, 90.00 90.00 90.00°
Atoms (fractional coordinates):
Au: 0.116 0.616 0.500
Au: 0.616 0.884 0.500
Au: 0.884 0.384 0.500
Au: 0.384 0.116 0.500
Mo: 0.000 0.000 0.000
Mo: 0.500 0.500 0.000
I: 0.717 0.217 0.000
I: 0.283 0.783 0.000
I: 0.217 0.283 0.000
I: 0.783 0.717 0.000

Crystal system: tetragonal



P takes first place; second place is 209 meV/atom up.



## P
First-principles (PBE) data for crystalline MoAuI3 at its relaxed geometry, as listed in Alexandria via LeMat-Bulk.

Cell: 5.591 5.591 5.591 Å, 90.00 90.00 90.00°
Atoms (fractional coordinates):
I: 0.000 0.000 0.500
I: 0.000 0.500 0.000
I: 0.500 0.000 0.000
Mo: 0.000 0.000 0.000
Au: 0.500 0.500 0.500

Crystal system: cubic



## Q
First-principles (PBE) data for crystalline MoAuI3 at its relaxed geometry, as listed in Alexandria via LeMat-Bulk.

Cell: 5.663 5.663 5.663 Å, 90.00 90.00 90.00°
Atoms (fractional coordinates):
I: 0.000 0.000 0.500
I: 0.500 0.000 0.000
I: 0.000 0.500 0.000
Mo: 0.500 0.500 0.500
Au: 0.000 0.000 0.000

Crystal system: cubic



P takes first place; second place is 300 meV/atom up.